Entry 1:
{
  "formula": "Ba2CrSi",
  "functional": "PBE",
  "state": "optimized geometry",
  "e_form_raw_ev_per_atom": 0.148,
  "e_above_lowest_polymorph_mev_per_atom": 55,
  "dos_ef_per_ev_atom": 0.58,
  "lattice_angstrom": [[6.6677, 0.0003, 0.0125], [5.3725, 3.9490, 0.0125], [2.2107, 0.7251, 4.9173]],
  "species": ["Si", "Ba", "Ba", "Cr"],
  "frac_coords": [[0.1921, 0.1921, 0.3077], [0.9658, 0.9658, 0.0342], [0.7651, 0.7651, 0.7349], [0.5769, 0.5769, 0.4232]]
}


Entry 2:
{
  "formula": "MnIrRh2",
  "functional": "PBE",
  "state": "optimized geometry",
  "formation_enthalpy_0k_mev_per_atom": 10,
  "dos_ef_per_ev_atom": 1.93,
  "lattice_angstrom": [[-4.2801, 6.2574, -4.4258], [-4.8320, 4.1403, -6.0474], [-6.3847, 4.6233, -3.8629]],
  "species": ["Mn", "Rh", "Rh", "Ir"],
  "frac_coords": [[0.7498, 0.7498, 0.7498], [0.0039, 0.0039, 0.0039], [0.2500, 0.2500, 0.2500], [0.4962, 0.4962, 0.4962]]
}


Entry 3:
{
  "formula": "As3SeI",
  "functional": "PBE",
  "state": "optimized geometry",
  "e_form_raw_ev_per_atom": 1.462,
  "e_above_lowest_polymorph_mev_per_atom": 608,
  "dos_ef_per_ev_atom": 1.28,
  "lattice_angstrom": [[5.3529, 0.0000, 0.0000], [0.0000, 5.3529, 0.0000], [0.0000, 0.0000, 5.3529]],
  "species": ["As", "As", "As", "Se", "I"],
  "frac_coords": [[0.5000, 0.0000, 0.0000], [0.0000, 0.0000, 0.5000], [0.0000, 0.5000, 0.0000], [0.5000, 0.5000, 0.5000], [0.0000, 0.0000, 0.0000]]
}


Entry 4:
{
  "formula": "Sm3AsPCl",
  "functional": "PBE",
  "state": "optimized geometry",
  "e_form_raw_ev_per_atom": -1.371,
  "dos_ef_per_ev_atom": 0.40,
  "lattice_angstrom": [[4.1559, 0.0000, 0.0000], [0.0000, 8.3436, 0.6526], [0.0000, -2.5839, 8.9235]],
  "species": ["Cl", "Cl", "As", "As", "Sm", "Sm", "Sm", "Sm", "Sm", "Sm", "P", "P"],
  "frac_coords": [[0.2500, 0.1101, 0.5759], [0.7500, 0.8899, 0.4241], [0.7500, 0.8287, 0.7959], [0.2500, 0.1713, 0.2041], [0.2500, 0.5860, 0.8497], [0.7500, 0.8964, 0.1343], [0.7500, 0.4140, 0.1503], [0.7500, 0.2948, 0.5135], [0.2500, 0.7052, 0.4865], [0.2500, 0.1036, 0.8657], [0.7500, 0.3441, 0.8415], [0.2500, 0.6559, 0.1585]]
}


Entry 5:
{
  "formula": "SrLaPr2",
  "functional": "PBE",
  "state": "optimized geometry",
  "formation_enthalpy_0k_mev_per_atom": 79,
  "e_above_lowest_polymorph_mev_per_atom": 7,
  "dos_ef_per_ev_atom": 1.82,
  "lattice_angstrom": [[-2.6982, 0.3288, 2.6644], [0.0682, -2.2544, 3.0660], [6.2016, 7.8888, 8.0254]],
  "species": ["Sr", "La", "Pr", "Pr"],
  "frac_coords": [[0.5000, 0.5000, 0.5000], [0.0000, 0.0000, 0.0000], [0.2552, 0.2552, 0.2344], [0.7448, 0.7448, 0.7656]]
}


Entry 6:
{
  "formula": "TbPm5Sm4",
  "functional": "PBE",
  "state": "optimized geometry",
  "formation_enthalpy_0k_mev_per_atom": 14,
  "e_above_lowest_polymorph_mev_per_atom": 0,
  "dos_ef_per_ev_atom": 1.40,
  "lattice_angstrom": [[-2.4779, 1.5824, 2.1292], [3.5412, -5.2894, 8.0758], [6.1935, 7.2281, -1.2491]],
  "species": ["Sm", "Sm", "Sm", "Sm", "Tb", "Pm", "Pm", "Pm", "Pm", "Pm"],
  "frac_coords": [[0.7003, 0.0999, 0.3995], [0.9001, 0.7019, 0.8005], [0.2997, 0.9001, 0.6005], [0.0999, 0.2981, 0.1995], [0.5000, 0.0000, 0.0000], [0.6999, 0.6000, 0.4000], [0.1001, 0.8016, 0.1991], [0.8999, 0.1984, 0.8009], [0.5000, 0.5000, 0.0000], [0.3001, 0.4000, 0.6000]]
}